(1)
Below is a relaxed Zr6Ga3Rh crystal, with properties calculated at the PBE level.

Geometry as extended XYZ:
```
20
Lattice="5.438 0.000 0.000 0.000 7.838 0.000 -5.226 0.000 9.849" Properties=species:S:1:pos:R:3 pbc="T T T"
Zr -2.141 1.334 4.242
Zr -4.754 2.585 9.166
Zr -0.401 5.297 4.241
Zr -3.014 6.460 9.166
Zr 0.841 0.320 2.504
Zr -1.772 3.599 7.428
Zr 1.984 4.239 2.420
Zr -0.629 7.518 7.345
Zr 3.226 1.378 0.683
Zr 0.613 2.541 5.607
Zr 4.966 5.253 0.683
Zr 2.353 6.504 5.607
Ga 0.000 0.000 0.000
Ga -2.613 3.919 4.924
Ga -3.152 0.968 7.428
Ga -0.539 2.952 2.504
Ga 0.751 4.887 7.345
Ga 3.364 6.871 2.421
Rh 0.106 0.000 4.924
Rh 2.719 3.919 0.000
```

Properties
formation enthalpy at 0 K: -0.34 eV/atom
crystal system: monoclinic
symmetry: No. 14



(2)
Below is a relaxed CdHgRu2 crystal, with properties calculated at the PBE level.

Geometry as extended XYZ:
```
4
Lattice="4.617 -1.466 0.000 4.617 1.466 0.000 -0.845 0.000 5.064" Properties=species:S:1:pos:R:3 pbc="T T T"
Cd 0.000 0.000 0.000
Hg 1.585 0.000 3.811
Ru 4.104 0.000 2.348
Ru 6.722 0.000 1.446
```

Properties
formation enthalpy at 0 K: 0.45 eV/atom
crystal system: monoclinic
energy above the most stable polymorph in this dataset: 253.6 meV/atom
symmetry: No. 8



(3)
Below is a relaxed TbPm2Bi2N2 crystal, with properties calculated at the PBE level.

Geometry as extended XYZ:
```
7
Lattice="-2.273 2.273 8.073 2.273 -2.273 8.073 2.273 2.273 -8.073" Properties=species:S:1:pos:R:3 pbc="T T T"
Tb 0.000 0.000 0.000
Pm 0.000 0.000 6.586
Pm 0.000 0.000 9.560
Bi 0.000 0.000 3.449
Bi 0.000 0.000 12.697
N 2.273 0.000 0.000
N 0.000 2.273 0.000
```

Properties
formation energy without anion corrections: -847 meV per atom
crystal system: tetragonal
symmetry: No. 139



no.,total energy (eV per atom),total magnetization (Bohr magnetons per cell)
1,-7.113,0.0
2,-4.492,0.0
3,-6.353,0.0